The following is a GGA-PBE calculation of a relaxed structure of Li2In2Rh, from Alexandria.

ΔE_f in eV per atom: -0.255
Space group: C2/m, No. 12
Calculated total energy in eV per atom: -3.59
Energy above the most stable polymorph in this dataset in eV per atom: 0.000

Structure (CIF):
```
data_Li2In2Rh
_cell_length_a 4.833
_cell_length_b 4.833
_cell_length_c 6.831
_cell_angle_alpha 102.88
_cell_angle_beta 102.88
_cell_angle_gamma 36.91
_symmetry_space_group_name_H-M 'P 1'
_symmetry_Int_Tables_number 1
_symmetry_space_group_name_Hall 'P 1'
loop_
_atom_site_label
_atom_site_type_symbol
_atom_site_fract_x
_atom_site_fract_y
_atom_site_fract_z
Li1 Li 0.119 0.119 0.356
Li2 Li 0.881 0.881 0.644
In1 In 0.178 0.178 0.803
In2 In 0.822 0.822 0.197
Rh1 Rh 0.500 0.500 0.000
```

The following is a GGA-PBE calculation of a relaxed structure of Li2CdC, from Alexandria.

ΔE_f in eV per atom: 0.731
Space group: Fm-3m, No. 225
Calculated total energy in eV per atom: -2.76
Energy above the most stable polymorph in this dataset in eV per atom: 0.000

Structure (CIF):
```
data_Li2CdC
_cell_length_a 4.111
_cell_length_b 4.111
_cell_length_c 4.111
_cell_angle_alpha 60.00
_cell_angle_beta 60.00
_cell_angle_gamma 60.00
_symmetry_space_group_name_H-M 'P 1'
_symmetry_Int_Tables_number 1
_symmetry_space_group_name_Hall 'P 1'
loop_
_atom_site_label
_atom_site_type_symbol
_atom_site_fract_x
_atom_site_fract_y
_atom_site_fract_z
Li1 Li 0.250 0.250 0.250
Li2 Li 0.750 0.750 0.750
Cd1 Cd 0.000 0.000 0.000
C1 C 0.500 0.500 0.500
```

The following is a GGA-PBE calculation of a relaxed structure of Na3Sn5O12, from Alexandria.

Space group: Ia-3d, No. 230
Calculated total energy in eV per atom: -5.66
Formation energy from raw total energies in eV per atom: -1.487

Structure (CIF):
```
data_Na3Sn5O12
_cell_length_a 11.436
_cell_length_b 11.436
_cell_length_c 11.436
_cell_angle_alpha 109.47
_cell_angle_beta 109.47
_cell_angle_gamma 109.47
_symmetry_space_group_name_H-M 'P 1'
_symmetry_Int_Tables_number 1
_symmetry_space_group_name_Hall 'P 1'
loop_
_atom_site_label
_atom_site_type_symbol
_atom_site_fract_x
_atom_site_fract_y
_atom_site_fract_z
Na1 Na 0.125 0.250 0.375
Na2 Na 0.125 0.375 0.750
Na3 Na 0.250 0.375 0.125
Na4 Na 0.250 0.875 0.625
Na5 Na 0.375 0.125 0.250
Na6 Na 0.375 0.750 0.125
Na7 Na 0.625 0.250 0.875
Na8 Na 0.625 0.875 0.750
Na9 Na 0.750 0.125 0.375
Na10 Na 0.750 0.625 0.875
Na11 Na 0.875 0.625 0.250
Na12 Na 0.875 0.750 0.625
Sn1 Sn 0.000 0.000 0.000
Sn2 Sn 0.000 0.000 0.500
Sn3 Sn 0.000 0.500 0.000
Sn4 Sn 0.000 0.500 0.500
Sn5 Sn 0.125 0.750 0.875
Sn6 Sn 0.125 0.875 0.250
Sn7 Sn 0.250 0.125 0.875
Sn8 Sn 0.250 0.625 0.375
Sn9 Sn 0.375 0.250 0.625
Sn10 Sn 0.375 0.625 0.750
Sn11 Sn 0.500 0.000 0.000
Sn12 Sn 0.500 0.000 0.500
Sn13 Sn 0.500 0.500 0.000
Sn14 Sn 0.500 0.500 0.500
Sn15 Sn 0.625 0.375 0.250
Sn16 Sn 0.625 0.750 0.375
Sn17 Sn 0.750 0.375 0.625
Sn18 Sn 0.750 0.875 0.125
Sn19 Sn 0.875 0.125 0.750
Sn20 Sn 0.875 0.250 0.125
O1 O 0.021 0.198 0.117
O2 O 0.021 0.324 0.904
O3 O 0.080 0.698 0.676
O4 O 0.080 0.883 0.404
O5 O 0.096 0.617 0.420
O6 O 0.096 0.979 0.676
O7 O 0.117 0.021 0.198
O8 O 0.117 0.596 0.920
O9 O 0.176 0.198 0.580
O10 O 0.176 0.479 0.596
O11 O 0.198 0.117 0.021
O12 O 0.198 0.580 0.176
O13 O 0.302 0.324 0.920
O14 O 0.302 0.479 0.383
O15 O 0.324 0.904 0.021
O16 O 0.324 0.920 0.302
O17 O 0.383 0.302 0.479
O18 O 0.383 0.580 0.904
O19 O 0.404 0.080 0.883
O20 O 0.404 0.824 0.521
O21 O 0.420 0.096 0.617
O22 O 0.420 0.824 0.802
O23 O 0.479 0.383 0.302
O24 O 0.479 0.596 0.176
O25 O 0.521 0.404 0.824
O26 O 0.521 0.617 0.698
O27 O 0.580 0.176 0.198
O28 O 0.580 0.904 0.383
O29 O 0.596 0.176 0.479
O30 O 0.596 0.920 0.117
O31 O 0.617 0.420 0.096
O32 O 0.617 0.698 0.521
O33 O 0.676 0.080 0.698
O34 O 0.676 0.096 0.979
O35 O 0.698 0.521 0.617
O36 O 0.698 0.676 0.080
O37 O 0.802 0.420 0.824
O38 O 0.802 0.883 0.979
O39 O 0.824 0.521 0.404
O40 O 0.824 0.802 0.420
O41 O 0.883 0.404 0.080
O42 O 0.883 0.979 0.802
O43 O 0.904 0.021 0.324
O44 O 0.904 0.383 0.580
O45 O 0.920 0.117 0.596
O46 O 0.920 0.302 0.324
O47 O 0.979 0.676 0.096
O48 O 0.979 0.802 0.883
```

The following is a GGA-PBE calculation of a relaxed structure of Ho2NiSe, from Alexandria.

Space group: P4/mmm, No. 123
Calculated total energy in eV per atom: -5.47
Energy above the most stable polymorph in this dataset in eV per atom: 0.224
Formation energy from raw total energies in eV per atom: -0.861

Structure (CIF):
```
data_Ho2NiSe
_cell_length_a 3.475
_cell_length_b 3.475
_cell_length_c 6.974
_cell_angle_alpha 90.00
_cell_angle_beta 90.00
_cell_angle_gamma 90.00
_symmetry_space_group_name_H-M 'P 1'
_symmetry_Int_Tables_number 1
_symmetry_space_group_name_Hall 'P 1'
loop_
_atom_site_label
_atom_site_type_symbol
_atom_site_fract_x
_atom_site_fract_y
_atom_site_fract_z
Ho1 Ho 0.000 0.000 0.232
Ho2 Ho 0.000 0.000 0.768
Ni1 Ni 0.500 0.500 0.000
Se1 Se 0.500 0.500 0.500
```

The following is a GGA-PBE calculation of a relaxed structure of Sm2ScP3, from Alexandria.

ΔE_f in eV per atom: -1.482
Space group: I4/mmm, No. 139
Calculated total energy in eV per atom: -6.82

Structure (CIF):
```
data_Sm2ScP3
_cell_length_a 8.920
_cell_length_b 8.920
_cell_length_c 8.920
_cell_angle_alpha 153.97
_cell_angle_beta 153.97
_cell_angle_gamma 37.14
_symmetry_space_group_name_H-M 'P 1'
_symmetry_Int_Tables_number 1
_symmetry_space_group_name_Hall 'P 1'
loop_
_atom_site_label
_atom_site_type_symbol
_atom_site_fract_x
_atom_site_fract_y
_atom_site_fract_z
Sm1 Sm 0.165 0.165 0.000
Sm2 Sm 0.835 0.835 0.000
Sc1 Sc 0.500 0.500 0.000
P1 P 0.000 0.000 0.000
P2 P 0.339 0.339 0.000
P3 P 0.661 0.661 0.000
```

The following is a GGA-PBE calculation of a relaxed structure of SrNiAs2, from Alexandria.

ΔE_f in eV per atom: -0.085
Space group: Cmmm, No. 65
Calculated total energy in eV per atom: -4.28

Structure (CIF):
```
data_SrNiAs2
_cell_length_a 4.402
_cell_length_b 4.402
_cell_length_c 4.217
_cell_angle_alpha 90.00
_cell_angle_beta 90.00
_cell_angle_gamma 90.21
_symmetry_space_group_name_H-M 'P 1'
_symmetry_Int_Tables_number 1
_symmetry_space_group_name_Hall 'P 1'
loop_
_atom_site_label
_atom_site_type_symbol
_atom_site_fract_x
_atom_site_fract_y
_atom_site_fract_z
Sr1 Sr 0.000 0.000 0.000
Ni1 Ni 0.500 0.500 0.000
As1 As 0.000 0.500 0.500
As2 As 0.500 0.000 0.500
```

The following is a GGA-PBE calculation of a relaxed structure of CaPrDyIn, from Alexandria.

ΔE_f in eV per atom: -0.168
Space group: F-43m, No. 216
Calculated total energy in eV per atom: -3.70

Structure (CIF):
```
data_CaPrDyIn
_cell_length_a 5.574
_cell_length_b 5.574
_cell_length_c 5.574
_cell_angle_alpha 60.00
_cell_angle_beta 60.00
_cell_angle_gamma 60.00
_symmetry_space_group_name_H-M 'P 1'
_symmetry_Int_Tables_number 1
_symmetry_space_group_name_Hall 'P 1'
loop_
_atom_site_label
_atom_site_type_symbol
_atom_site_fract_x
_atom_site_fract_y
_atom_site_fract_z
Ca1 Ca 0.000 0.000 0.000
Pr1 Pr 0.750 0.750 0.750
Dy1 Dy 0.250 0.250 0.250
In1 In 0.500 0.500 0.500
```

The following is a GGA-PBE calculation of a relaxed structure of Ir2Br, from Alexandria.

Space group: Cmcm, No. 63
Calculated total energy in eV per atom: -6.11
Energy above the most stable polymorph in this dataset in eV per atom: 0.000
Formation energy from raw total energies in eV per atom: 0.356

Structure (CIF):
```
data_Ir2Br
_cell_length_a 12.024
_cell_length_b 12.024
_cell_length_c 3.547
_cell_angle_alpha 90.00
_cell_angle_beta 90.00
_cell_angle_gamma 166.51
_symmetry_space_group_name_H-M 'P 1'
_symmetry_Int_Tables_number 1
_symmetry_space_group_name_Hall 'P 1'
loop_
_atom_site_label
_atom_site_type_symbol
_atom_site_fract_x
_atom_site_fract_y
_atom_site_fract_z
Ir1 Ir 0.039 0.961 0.750
Ir2 Ir 0.404 0.596 0.750
Ir3 Ir 0.596 0.404 0.250
Ir4 Ir 0.961 0.039 0.250
Br1 Br 0.326 0.674 0.250
Br2 Br 0.674 0.326 0.750
```

The following is a GGA-PBE calculation of a relaxed structure of YCo2HgGe, from Alexandria.

ΔE_f in eV per atom: 1.412
Space group: P4/mmm, No. 123
Calculated total energy in eV per atom: -3.71

Structure (CIF):
```
data_YCo2HgGe
_cell_length_a 4.752
_cell_length_b 4.752
_cell_length_c 5.624
_cell_angle_alpha 90.00
_cell_angle_beta 90.00
_cell_angle_gamma 90.00
_symmetry_space_group_name_H-M 'P 1'
_symmetry_Int_Tables_number 1
_symmetry_space_group_name_Hall 'P 1'
loop_
_atom_site_label
_atom_site_type_symbol
_atom_site_fract_x
_atom_site_fract_y
_atom_site_fract_z
Y1 Y 0.000 0.000 0.000
Co1 Co 0.000 0.500 0.000
Co2 Co 0.500 0.000 0.000
Hg1 Hg 0.000 0.000 0.500
Ge1 Ge 0.500 0.500 0.500
```

The following is a GGA-PBE calculation of a relaxed structure of Cs4Bi3SbSe8, from Alexandria.

Space group: R-3m, No. 166
Calculated total energy in eV per atom: -3.69
Formation energy from raw total energies in eV per atom: -0.753

Structure (CIF):
```
data_Cs4Bi3SbSe8
_cell_length_a 9.797
_cell_length_b 9.797
_cell_length_c 9.797
_cell_angle_alpha 52.93
_cell_angle_beta 52.93
_cell_angle_gamma 52.93
_symmetry_space_group_name_H-M 'P 1'
_symmetry_Int_Tables_number 1
_symmetry_space_group_name_Hall 'P 1'
loop_
_atom_site_label
_atom_site_type_symbol
_atom_site_fract_x
_atom_site_fract_y
_atom_site_fract_z
Cs1 Cs 0.000 0.000 0.000
Cs2 Cs 0.000 0.500 0.500
Cs3 Cs 0.500 0.000 0.500
Cs4 Cs 0.500 0.500 0.000
Bi1 Bi 0.000 0.000 0.500
Bi2 Bi 0.000 0.500 0.000
Bi3 Bi 0.500 0.000 0.000
Sb1 Sb 0.500 0.500 0.500
Se1 Se 0.231 0.231 0.231
Se2 Se 0.235 0.728 0.728
Se3 Se 0.272 0.272 0.765
Se4 Se 0.272 0.765 0.272
Se5 Se 0.728 0.235 0.728
Se6 Se 0.728 0.728 0.235
Se7 Se 0.765 0.272 0.272
Se8 Se 0.769 0.769 0.769
```

The following is a GGA-PBE calculation of a relaxed structure of CaHgPt2, from Alexandria.

ΔE_f in eV per atom: -0.530
Space group: C2/m, No. 12
Calculated total energy in eV per atom: -4.13

Structure (CIF):
```
data_CaHgPt2
_cell_length_a 4.322
_cell_length_b 4.322
_cell_length_c 4.040
_cell_angle_alpha 90.07
_cell_angle_beta 90.07
_cell_angle_gamma 89.95
_symmetry_space_group_name_H-M 'P 1'
_symmetry_Int_Tables_number 1
_symmetry_space_group_name_Hall 'P 1'
loop_
_atom_site_label
_atom_site_type_symbol
_atom_site_fract_x
_atom_site_fract_y
_atom_site_fract_z
Ca1 Ca 0.000 0.000 0.000
Hg1 Hg 0.500 0.500 0.000
Pt1 Pt 0.000 0.500 0.500
Pt2 Pt 0.500 0.000 0.500
```

The following is a GGA-PBE calculation of a relaxed structure of ZrMo2C, from Alexandria.

ΔE_f in eV per atom: 0.232
Space group: C2/m, No. 12
Calculated total energy in eV per atom: -9.63

Structure (CIF):
```
data_ZrMo2C
_cell_length_a 5.135
_cell_length_b 5.135
_cell_length_c 4.730
_cell_angle_alpha 117.29
_cell_angle_beta 117.29
_cell_angle_gamma 32.97
_symmetry_space_group_name_H-M 'P 1'
_symmetry_Int_Tables_number 1
_symmetry_space_group_name_Hall 'P 1'
loop_
_atom_site_label
_atom_site_type_symbol
_atom_site_fract_x
_atom_site_fract_y
_atom_site_fract_z
Zr1 Zr 0.000 0.000 0.000
Mo1 Mo 0.178 0.178 0.679
Mo2 Mo 0.822 0.822 0.321
C1 C 0.500 0.500 0.500
```

In order of appearance, theoretical density = 6.18, 4.67, 4.93, 9.22, 5.34, 6.02, 6.21, 12.89, 6.28, 5.72, 13.88, 8.22 g/cm3.